1.
Density functional theory data (PBE-GGA) for NiAsRu3 after structural relaxation.

Cell: 4.473 4.473 4.473 Å, 90.00 90.00 90.00°
Space group Pm-3m (No. 221)
Asymmetric unit:
Ni 0.000 0.000 0.000 [1 per cell]
As 0.500 0.500 0.500 [1 per cell]
Ru 0.000 0.500 0.500 [3 per cell]

Results
- D(E_F): 3.009 states/eV per atom
- ΔE to the lowest computed polymorph: 0 kJ/mol of formula units
- ΔH_f (0 K): 1.267 eV per atom


2.
Density functional theory data (PBE-GGA) for Ni2As8Ru after structural relaxation.

Cell: 13.198 7.478 4.547 Å, 90.00 97.41 90.00°
Space group C2/m (No. 12)
Asymmetric unit:
Ni 0.194 0.000 0.374 [4 per cell]
As 0.075 0.247 0.218 [8 per cell]
As 0.130 0.500 0.570 [4 per cell]
As 0.158 0.000 0.855 [4 per cell]
Ru 0.000 0.000 0.500 [2 per cell]

Results
- D(E_F): 0.232 states/eV per atom
- ΔH_f (0 K): 0.050 eV per atom


3.
Density functional theory data (PBE-GGA) for Ni2AsRu after structural relaxation.

Cell: 3.064 3.064 5.404 Å, 90.00 90.00 90.00°
Space group P4mm (No. 99)
Asymmetric unit:
Ni 0.000 0.000 0.000 [1 per cell]
Ni 0.500 0.500 0.217 [1 per cell]
As 0.500 0.500 0.754 [1 per cell]
Ru 0.000 0.000 0.492 [1 per cell]

Results
- D(E_F): 1.630 states/eV per atom
- ΔH_f (0 K): 0.025 eV per atom


4.
Density functional theory data (PBE-GGA) for Ni2AsRu after structural relaxation.

Cell: 3.642 3.642 3.787 Å, 90.00 90.00 90.00°
Space group P4/mmm (No. 123)
Asymmetric unit:
Ni 0.000 0.500 0.000 [2 per cell]
As 0.000 0.000 0.500 [1 per cell]
Ru 0.500 0.500 0.500 [1 per cell]

Results
- D(E_F): 1.098 states/eV per atom
- ΔH_f (0 K): -0.032 eV per atom